Entry from the Alexandria database: a relaxed structure of Na3ReNi2O6 (GGA+U).

Cell and atoms, written as extended XYZ:
```
12
Lattice="2.6738 -4.6437 0.0000 2.6738 4.6437 0.0000 -1.7841 0.0000 5.3346" Properties=species:S:1:pos:R:3 pbc="T T T"
Na 0.0000 0.0000 0.0000
Na 2.6738 1.6085 0.0000
Na 2.6738 -1.6085 0.0000
Re 1.7817 0.0000 2.6673
Ni 1.7817 3.0945 2.6673
Ni 1.7817 -3.0945 2.6673
O 0.9364 1.4720 1.5834
O 0.0979 0.0000 3.7480
O 0.9364 -1.4720 1.5834
O 2.6271 1.4720 3.7512
O 3.4655 0.0000 1.5866
O 2.6271 -1.4720 3.7512
```

Summary:
Its total magnetization is 2.000 Bohr magnetons per cell. Its crystal system is monoclinic. Its total energy is -5.69 eV per atom.